Entry 1:
Material: Mg2HgPb
Method: DFT, GGA-PBE
State: optimized geometry

Summary:
- M_tot (μB per cell) = 0.0
- total DFT energy (no corrections) (eV/f.u.) = -7.663
- offset from the most stable computed form (meV per atom) = 28.7
- formation enthalpy at 0 K (eV per atom) = -0.1158

Cell: 9.4551 3.5263 5.9843 Å, 90.00 102.39 90.00°
Last column: nearest neighbours and their distance in Å.
Fractional positions:
Mg: 0.2440 0.0000 0.2256  3 Hg 2.99-3.01, 3 Pb 3.11-3.16, 2 Mg 3.25
Mg: 0.2560 0.5000 0.7744  3 Hg 2.99-3.01, 3 Pb 3.11-3.16, 2 Mg 3.25
Mg: 0.7440 0.5000 0.2256  3 Hg 2.99-3.01, 3 Pb 3.11-3.16, 2 Mg 3.25
Mg: 0.7560 0.0000 0.7744  3 Hg 2.99-3.01, 3 Pb 3.11-3.16, 2 Mg 3.25
Hg: 0.0000 0.5000 0.0000  6 Mg 2.99-3.01
Hg: 0.5000 0.0000 0.0000  6 Mg 2.99-3.01
Pb: 0.0000 0.0000 0.5000  6 Mg 3.11-3.16, 4 Hg 3.47
Pb: 0.5000 0.5000 0.5000  6 Mg 3.11-3.16, 4 Hg 3.47

Entry 2:
Material: MgHgPb2
Method: DFT, GGA-PBE
State: optimized geometry

Summary:
- M_tot (μB per cell) = 0.0
- total DFT energy (no corrections) (eV/f.u.) = -9.394
- formation enthalpy at 0 K (eV per atom) = -0.0202

Cell: 7.6286 7.6286 7.6286 Å, 90.00 90.00 90.00°
Last column: nearest neighbours and their distance in Å.
Fractional positions:
Mg: 0.0000 0.0000 0.0000  4 Pb 3.30, 4 Hg 3.30
Mg: 0.0000 0.5000 0.5000  4 Pb 3.30, 4 Hg 3.30
Mg: 0.5000 0.0000 0.5000  4 Pb 3.30, 4 Hg 3.30
Mg: 0.5000 0.5000 0.0000  4 Pb 3.30, 4 Hg 3.30
Hg: 0.2500 0.2500 0.2500  4 Mg 3.30, 4 Pb 3.30
Hg: 0.2500 0.7500 0.7500  4 Pb 3.30, 4 Mg 3.30
Hg: 0.7500 0.2500 0.7500  4 Pb 3.30, 4 Mg 3.30
Hg: 0.7500 0.7500 0.2500  4 Pb 3.30, 4 Mg 3.30
Pb: 0.0000 0.0000 0.5000  4 Hg 3.30, 4 Pb 3.30
Pb: 0.0000 0.5000 0.0000  4 Hg 3.30, 4 Pb 3.30
Pb: 0.2500 0.2500 0.7500  4 Pb 3.30, 4 Mg 3.30
Pb: 0.2500 0.7500 0.2500  4 Pb 3.30, 4 Mg 3.30
Pb: 0.5000 0.0000 0.0000  4 Hg 3.30, 4 Pb 3.30
Pb: 0.5000 0.5000 0.5000  4 Hg 3.30, 4 Pb 3.30
Pb: 0.7500 0.2500 0.2500  4 Pb 3.30, 4 Mg 3.30
Pb: 0.7500 0.7500 0.7500  4 Pb 3.30, 4 Mg 3.30

Entry 3:
Material: Mg4Hg3Pb
Method: DFT, GGA-PBE
State: optimized geometry

Summary:
- M_tot (μB per cell) = 0.0
- total DFT energy (no corrections) (eV/f.u.) = -12.463
- formation enthalpy at 0 K (eV per atom) = -0.1839

Cell: 3.5343 3.5343 14.4587 Å, 90.00 90.00 90.00°
Last column: nearest neighbours and their distance in Å.
Fractional positions:
Mg: 0.0000 0.0000 0.1153  8 Hg 3.00-3.05, 1 Mg 3.34
Mg: 0.0000 0.0000 0.3508  4 Hg 2.99, 4 Pb 3.30
Mg: 0.0000 0.0000 0.6492  4 Hg 2.99, 4 Pb 3.30
Mg: 0.0000 0.0000 0.8847  8 Hg 3.00-3.05, 1 Mg 3.34
Hg: 0.5000 0.5000 0.0000  8 Mg 3.00
Hg: 0.5000 0.5000 0.2368  8 Mg 2.99-3.05
Hg: 0.5000 0.5000 0.7632  8 Mg 2.99-3.05
Pb: 0.5000 0.5000 0.5000  8 Mg 3.30, 4 Pb 3.53

Entry 4:
Material: Mg7HgPb4
Method: DFT, GGA-PBE
State: optimized geometry

Summary:
- M_tot (μB per cell) = 0.0
- total DFT energy (no corrections) (eV/f.u.) = -26.823
- offset from the most stable computed form (meV per atom) = 0.0
- formation enthalpy at 0 K (eV per atom) = -0.0438

Cell: 5.1078 5.1078 13.3203 Å, 90.00 90.00 120.00°
Last column: nearest neighbours and their distance in Å.
Fractional positions:
Mg: 0.0000 0.0000 0.0000  6 Pb 3.15, 2 Mg 3.45
Mg: 0.0000 0.0000 0.2586  3 Pb 3.12, 4 Mg 3.17-3.45, 1 Hg 3.22
Mg: 0.0000 0.0000 0.7414  3 Pb 3.12, 4 Mg 3.17-3.45, 1 Hg 3.22
Mg: 0.3333 0.6667 0.1707  4 Pb 3.17-3.38, 4 Mg 3.17-3.37
Mg: 0.3333 0.6667 0.4237  3 Hg 3.12, 4 Pb 3.18-3.23, 1 Mg 3.37
Mg: 0.6667 0.3333 0.5763  3 Hg 3.12, 4 Pb 3.18-3.23, 1 Mg 3.37
Mg: 0.6667 0.3333 0.8293  4 Pb 3.17-3.38, 4 Mg 3.17-3.37
Hg: 0.0000 0.0000 0.5000  8 Mg 3.12-3.22
Pb: 0.3333 0.6667 0.6660  7 Mg 3.12-3.23, 1 Pb 3.35
Pb: 0.3333 0.6667 0.9171  7 Mg 3.15-3.38, 1 Pb 3.35
Pb: 0.6667 0.3333 0.0829  7 Mg 3.15-3.38, 1 Pb 3.35
Pb: 0.6667 0.3333 0.3340  7 Mg 3.12-3.23, 1 Pb 3.35